[1]
The following is a PBE calculation of a relaxed MgAs2Ru2 crystal, from Alexandria.

Cell lengths 7.247, 7.247, 3.034 Å; angles 90.00, 90.00, 90.00 degrees
Element x y z (fractional)
Ru1 0.357 0.857 0.000
Ru2 0.857 0.643 0.000
Ru3 0.643 0.143 0.000
Ru4 0.143 0.357 0.000
As1 0.153 0.653 0.500
As2 0.653 0.847 0.500
As3 0.847 0.347 0.500
As4 0.347 0.153 0.500
Mg1 0.000 0.000 0.000
Mg2 0.500 0.500 0.000

Summary:
Volume (Å³/cell): 159
Formation energy from the elements (eV per atom): -0.11
DFT total energy (eV/cell): -59.98

=====

[2]
The following is a PBE calculation of a relaxed La2TbAl12Fe3 crystal, from Alexandria.

Cell lengths 8.029, 8.029, 8.029 Å; angles 64.37, 64.37, 64.37 degrees
Element x y z (fractional)
La1 0.582 0.582 0.582
La2 0.418 0.418 0.418
Tb1 0.000 0.000 0.000
Al1 0.270 0.270 0.922
Al2 0.839 0.839 0.476
Al3 0.476 0.839 0.839
Al4 0.922 0.270 0.270
Al5 0.839 0.476 0.839
Al6 0.270 0.922 0.270
Al7 0.730 0.730 0.078
Al8 0.161 0.161 0.524
Al9 0.524 0.161 0.161
Al10 0.078 0.730 0.730
Al11 0.161 0.524 0.161
Al12 0.730 0.078 0.730
Fe1 0.500 0.000 0.000
Fe2 0.000 0.500 0.000
Fe3 0.000 0.000 0.500

Summary:
Volume (Å³/cell): 401
Formation energy from the elements (eV per atom): 0.10
DFT total energy (eV/cell): -83.04

=====

[3]
The following is a PBE calculation of a relaxed Na2HoNpO6 crystal, from Alexandria.

Cell lengths 5.755, 5.897, 8.247 Å; angles 90.00, 89.98, 90.00 degrees
Element x y z (fractional)
Na1 0.007 0.963 0.251
Na2 0.507 0.537 0.751
Na3 0.993 0.037 0.749
Na4 0.493 0.463 0.249
Ho1 0.500 0.000 0.000
Ho2 0.000 0.500 0.500
Np1 0.500 0.000 0.500
Np2 0.000 0.500 0.000
O1 0.286 0.689 0.048
O2 0.786 0.811 0.548
O3 0.714 0.311 0.952
O4 0.214 0.189 0.452
O5 0.315 0.716 0.447
O6 0.815 0.784 0.947
O7 0.685 0.284 0.553
O8 0.185 0.216 0.053
O9 0.904 0.535 0.236
O10 0.404 0.965 0.736
O11 0.096 0.465 0.764
O12 0.596 0.035 0.264

Summary:
Volume (Å³/cell): 280
DFT total energy (eV/cell): -152.66
Energy relative to the elements, uncorrected (eV/atom): -2.64

=====

[4]
The following is a PBE calculation of a relaxed CdIr2Ru crystal, from Alexandria.

Cell lengths 3.970, 3.964, 3.964 Å; angles 90.00, 90.00, 90.00 degrees
Element x y z (fractional)
Cd1 0.500 0.000 0.500
Ir1 0.000 0.000 0.000
Ir2 0.000 0.500 0.500
Ru1 0.500 0.500 0.000

Summary:
Volume (Å³/cell): 62
Formation energy from the elements (eV per atom): 0.41
DFT total energy (eV/cell): -26.29

=====

[5]
The following is a PBE calculation of a relaxed Ho4InSi crystal, from Alexandria.

Cell lengths 6.171, 6.924, 8.756 Å; angles 103.68, 110.63, 90.02 degrees
Element x y z (fractional)
Ho1 0.537 0.038 0.833
Ho2 0.704 0.462 0.167
Ho3 0.463 0.962 0.167
Ho4 0.296 0.538 0.833
Ho5 0.946 0.887 0.658
Ho6 0.287 0.613 0.342
Ho7 0.054 0.113 0.342
Ho8 0.713 0.387 0.658
In1 0.907 0.750 0.000
In2 0.093 0.250 0.000
Si1 0.500 0.000 0.500
Si2 0.000 0.500 0.500

Summary:
Relative energy among the computed polymorphs (meV/atom): 183
Volume (Å³/cell): 339
DFT total energy (eV/cell): -55.97
Energy relative to the elements, uncorrected (eV/atom): -0.25

=====

[6]
The following is a PBE calculation of a relaxed Ba2AlCrRh crystal, from Alexandria.

Cell lengths 6.121, 4.703, 6.121 Å; angles 90.00, 90.00, 90.00 degrees
Last column: magnetic moment on the atom in μB.
Element x y z (fractional)
Cr1 0.000 0.500 0.000  3.48
Rh1 0.000 0.000 0.000  -0.17
Ba1 0.000 0.000 0.500  -0.02
Ba2 0.500 0.000 0.000  -0.02
Al1 0.500 0.500 0.500  -0.08

Summary:
Volume (Å³/cell): 176
Formation energy from the elements (eV per atom): 0.36
DFT total energy (eV/cell): -22.75

=====

[7]
The following is a PBE calculation of a relaxed CuNi3Pd6 crystal, from Alexandria.

Cell lengths 4.401, 7.170, 9.564 Å; angles 112.75, 90.00, 90.00 degrees
Last column: magnetic moment on the atom in μB.
Element x y z (fractional)
Cu1 0.250 0.963 0.573  0.04
Cu2 0.750 0.037 0.427  0.04
Ni1 0.250 0.554 0.369  0.87
Ni2 0.750 0.446 0.631  0.87
Ni3 0.250 0.381 0.775  0.89
Ni4 0.750 0.619 0.225  0.89
Ni5 0.250 0.766 0.968  0.89
Ni6 0.750 0.234 0.032  0.89
Pd1 0.250 0.470 0.073  0.32
Pd2 0.750 0.530 0.927  0.32
Pd3 0.250 0.157 0.168  0.29
Pd4 0.750 0.843 0.832  0.29
Pd5 0.250 0.661 0.668  0.28
Pd6 0.750 0.339 0.332  0.28
Pd7 0.250 0.262 0.483  0.22
Pd8 0.750 0.738 0.517  0.22
Pd9 0.250 0.852 0.282  0.22
Pd10 0.750 0.148 0.718  0.22
Pd11 0.250 0.079 0.868  0.29
Pd12 0.750 0.921 0.132  0.29

Summary:
Relative energy among the computed polymorphs (meV/atom): 0
Volume (Å³/cell): 278
Formation energy from the elements (eV per atom): 0.03
DFT total energy (eV/cell): -104.60

=====

[8]
The following is a PBE calculation of a relaxed TeRhO crystal, from Alexandria.

Cell lengths 5.810, 6.056, 5.867 Å; angles 103.01, 90.00, 90.00 degrees
Element x y z (fractional)
Te1 0.595 0.838 0.675
Te2 0.405 0.162 0.325
Te3 0.095 0.662 0.325
Te4 0.905 0.338 0.675
Rh1 0.988 0.238 0.231
Rh2 0.512 0.738 0.231
Rh3 0.012 0.762 0.769
Rh4 0.488 0.262 0.769
O1 0.602 0.354 0.149
O2 0.398 0.646 0.851
O3 0.898 0.854 0.149
O4 0.102 0.146 0.851

Summary:
Volume (Å³/cell): 201
DFT total energy (eV/cell): -67.05
Energy relative to the elements, uncorrected (eV/atom): -0.44

=====

[9]
The following is a PBE calculation of a relaxed Rb2MoOs crystal, from Alexandria.

Cell lengths 5.882, 5.882, 5.882 Å; angles 60.00, 60.00, 60.00 degrees
Last column: magnetic moment on the atom in μB.
Element x y z (fractional)
Mo1 0.000 0.000 0.000  3.87
Os1 0.500 0.500 0.500  2.36
Rb1 0.250 0.250 0.250  0.04
Rb2 0.750 0.750 0.750  0.04

Summary:
Relative energy among the computed polymorphs (meV/atom): 900
Volume (Å³/cell): 144
Formation energy from the elements (eV per atom): 2.56
DFT total energy (eV/cell): -13.75

=====

[10]
The following is a PBE calculation of a relaxed Ca2TiAs3Pd4 crystal, from Alexandria.

Cell lengths 4.164, 4.164, 11.046 Å; angles 90.00, 90.00, 90.00 degrees
Element x y z (fractional)
Ca1 0.500 0.000 0.230
Ca2 0.000 0.500 0.770
Ti1 0.500 0.500 0.500
As1 0.000 0.000 0.500
As2 0.500 0.000 0.863
As3 0.000 0.500 0.137
Pd1 0.500 0.500 0.000
Pd2 0.000 0.000 0.000
Pd3 0.500 0.000 0.639
Pd4 0.000 0.500 0.361

Summary:
Volume (Å³/cell): 192
Formation energy from the elements (eV per atom): -0.75
DFT total energy (eV/cell): -54.13

=====

[11]
The following is a PBE calculation of a relaxed KTcSe3 crystal, from Alexandria.

Cell lengths 5.530, 5.530, 5.530 Å; angles 90.00, 90.00, 90.00 degrees
Last column: magnetic moment on the atom in μB.
Element x y z (fractional)
K1 0.000 0.000 0.000  -0.04
Tc1 0.500 0.500 0.500  4.05
Se1 0.000 0.500 0.000  -0.45
Se2 0.000 0.000 0.500  -0.47
Se3 0.500 0.000 0.000  -0.35

Summary:
Relative energy among the computed polymorphs (meV/atom): 1776
Volume (Å³/cell): 169
DFT total energy (eV/cell): -14.07
Energy relative to the elements, uncorrected (eV/atom): 1.57

=====

[12]
The following is a PBE calculation of a relaxed Nd6PS5 crystal, from Alexandria.

Cell lengths 7.078, 7.078, 7.090 Å; angles 99.52, 99.52, 120.03 degrees
Element x y z (fractional)
P1 0.000 0.000 0.000
S1 0.833 0.167 0.500
S2 0.667 0.333 0.000
S3 0.500 0.500 0.500
S4 0.333 0.667 0.000
S5 0.167 0.833 0.500
Nd1 0.409 0.082 0.246
Nd2 0.918 0.591 0.754
Nd3 0.247 0.247 0.755
Nd4 0.753 0.753 0.245
Nd5 0.082 0.409 0.246
Nd6 0.591 0.918 0.754

Summary:
Volume (Å³/cell): 290
DFT total energy (eV/cell): -78.35
Energy relative to the elements, uncorrected (eV/atom): -1.97

=====

Number 1: M_tot 0.0 μB per formula unit. Number 2: M_tot 0.0 μB per formula unit. Number 3: M_tot 0.0 μB per formula unit. Number 4: M_tot 0.0 μB per formula unit. Number 5: M_tot 0.0 μB per formula unit. Number 6: M_tot 3.2 μB per formula unit. Number 7: M_tot 4.1 μB per formula unit. Number 8: M_tot 0.0 μB per formula unit. Number 9: M_tot 8.0 μB per formula unit. Number 10: M_tot 0.0 μB per formula unit. Number 11: M_tot 2.7 μB per formula unit. Number 12: M_tot 0.0 μB per formula unit.